(1)
VASP calculation (SCAN) on a PBEsol-optimized structure of SrInAg2.

a b c (Å): 4.7079 4.7079 16.1222
angles (deg): 90.00 90.00 120.00
Space group R3m (No. 160, hexagonal axes)
One atom of each set of equivalent atoms:
1 Sr 0.0000 0.0000 0.0000 [3 per cell]
2 In 0.0000 0.0000 0.7966 [3 per cell]
3 Ag 0.0000 0.0000 0.2010 [3 per cell]
4 Ag 0.0000 0.0000 0.5219 [3 per cell]

(2)
VASP calculation (SCAN) on a PBEsol-optimized structure of SrIn2Ag.

a b c (Å): 4.6597 4.6597 17.4282
angles (deg): 90.00 90.00 120.00
Space group R-3m (No. 166, hexagonal axes)
One atom of each set of equivalent atoms:
1 Sr 0.0000 0.0000 0.0000 [3 per cell]
2 In 0.0000 0.0000 0.2144 [6 per cell]
3 Ag 0.0000 0.0000 0.5000 [3 per cell]

(3)
VASP calculation (SCAN) on a PBEsol-optimized structure of TaInAg2.

a b c (Å): 2.842 4.675 5.434
angles (deg): 90.00 95.66 90.00
Space group P2/m (No. 10)
One atom of each set of equivalent atoms:
1 Ta 0.000 0.000 0.000 [1 per cell]
2 In 0.500 0.000 0.500 [1 per cell]
3 Ag 0.340 0.500 0.759 [2 per cell]

(4)
VASP calculation (SCAN) on a PBEsol-optimized structure of TaIn3Ag.

a b c (Å): 5.036 5.036 5.036
angles (deg): 90.00 90.00 90.00
Space group Pm-3m (No. 221)
One atom of each set of equivalent atoms:
1 Ta 0.000 0.000 0.000 [1 per cell]
2 In 0.000 0.500 0.500 [3 per cell]
3 Ag 0.500 0.500 0.500 [1 per cell]

(5)
VASP calculation (SCAN) on a PBEsol-optimized structure of Ta2TlInAg.

a b c (Å): 5.112 5.112 4.926
angles (deg): 90.00 90.00 90.00
Space group P4/mmm (No. 123)
One atom of each set of equivalent atoms:
1 Ta 0.000 0.500 0.000 [2 per cell]
2 Tl 0.000 0.000 0.000 [1 per cell]
3 In 0.500 0.500 0.500 [1 per cell]
4 Ag 0.000 0.000 0.500 [1 per cell]

(6)
VASP calculation (SCAN) on a PBEsol-optimized structure of InTc2Ag.

a b c (Å): 3.174 4.331 9.298
angles (deg): 90.00 90.00 90.00
Space group Immm (No. 71)
One atom of each set of equivalent atoms:
1 In 0.000 0.000 0.000 [2 per cell]
2 Tc 0.000 0.500 0.252 [4 per cell]
3 Ag 0.000 0.000 0.500 [2 per cell]

Number 1: energy relative to the elements -270 meV per atom, DFT total energy -358.43 eV per cell. Number 2: energy relative to the elements -379 meV per atom, DFT total energy -365.79 eV per cell. Number 3: energy relative to the elements 267 meV per atom, DFT total energy -161.64 eV per cell. Number 4: energy relative to the elements 1219 meV per atom, DFT total energy -192.01 eV per cell. Number 5: energy relative to the elements 1868 meV per atom, DFT total energy -260.94 eV per cell. Number 6: energy relative to the elements 472 meV per atom, DFT total energy -265.97 eV per cell.